1.
Er2SbO2: relaxed, PBE-GGA.

Values from the calculation:
- formation energy without anion corrections (eV/atom) = -2.74
- magnetization (μB per cell) = 0.0
- density of states at the Fermi level (states/eV per cell) = 0.9

```
data_Er2SbO2
_chemical_formula_sum 'Er4 Sb2 O4'
_cell_length_a 3.821
_cell_length_b 3.821
_cell_length_c 13.239
_cell_angle_alpha 90.00
_cell_angle_beta 90.00
_cell_angle_gamma 90.00
_symmetry_space_group_name_H-M 'I 4/m m m'
_symmetry_Int_Tables_number 139
_symmetry_space_group_name_Hall '-I 4 2'
loop_
_atom_site_label
_atom_site_type_symbol
_atom_site_fract_x
_atom_site_fract_y
_atom_site_fract_z
Er1 Er 0.000 0.000 0.167
Sb1 Sb 0.000 0.000 0.500
O1 O 0.000 0.500 0.250
```


2.
Ac3In4Sn2: relaxed, PBE-GGA.

Values from the calculation:
- formation energy from the elements (eV per atom) = -0.492
- magnetization (μB per cell) = 0.0
- density of states at the Fermi level (states/eV per cell) = 7.7

```
data_Ac3In4Sn2
_chemical_formula_sum 'Ac6 In8 Sn4'
_cell_length_a 12.207
_cell_length_b 5.119
_cell_length_c 9.835
_cell_angle_alpha 90.00
_cell_angle_beta 113.55
_cell_angle_gamma 90.00
_symmetry_space_group_name_H-M 'C 1 2/m 1'
_symmetry_Int_Tables_number 12
_symmetry_space_group_name_Hall '-C 2y'
loop_
_atom_site_label
_atom_site_type_symbol
_atom_site_fract_x
_atom_site_fract_y
_atom_site_fract_z
Ac1 Ac 0.000 0.000 0.000
Ac2 Ac 0.179 0.500 0.653
In1 In 0.020 0.000 0.362
In2 In 0.241 0.500 0.073
Sn1 Sn 0.103 0.500 0.273
```


3.
NaPdN: relaxed, PBE-GGA.

Values from the calculation:
- formation energy without anion corrections (eV/atom) = 0.36
- magnetization (μB per cell) = 0.0
- density of states at the Fermi level (states/eV per cell) = 1.3
- energy relative to the lowest polymorph listed for this composition (eV/atom) = 0.071

```
data_NaPdN
_chemical_formula_sum 'Na2 Pd2 N2'
_cell_length_a 3.1027
_cell_length_b 3.1027
_cell_length_c 10.6061
_cell_angle_alpha 90.00
_cell_angle_beta 90.00
_cell_angle_gamma 120.00
_symmetry_space_group_name_H-M 'P 63 m c'
_symmetry_Int_Tables_number 186
_symmetry_space_group_name_Hall 'P 6c -2c'
loop_
_atom_site_label
_atom_site_type_symbol
_atom_site_fract_x
_atom_site_fract_y
_atom_site_fract_z
Na1 Na 0.3333 0.6667 0.0000
Pd1 Pd 0.0000 0.0000 0.2504
N1 N 0.3333 0.6667 0.3437
```


4.
Zr4TaAu: relaxed, PBE-GGA.

Values from the calculation:
- formation energy from the elements (eV per atom) = 0.381
- magnetization (μB per cell) = 0.0
- density of states at the Fermi level (states/eV per cell) = 30.2

```
data_Zr4TaAu
_chemical_formula_sum 'Zr16 Ta4 Au4'
_cell_length_a 8.002
_cell_length_b 8.002
_cell_length_c 8.002
_cell_angle_alpha 90.00
_cell_angle_beta 90.00
_cell_angle_gamma 90.00
_symmetry_space_group_name_H-M 'F -4 3 m'
_symmetry_Int_Tables_number 216
_symmetry_space_group_name_Hall 'F -4 2 3'
loop_
_atom_site_label
_atom_site_type_symbol
_atom_site_fract_x
_atom_site_fract_y
_atom_site_fract_z
Zr1 Zr 0.124 0.124 0.376
Ta1 Ta 0.250 0.250 0.750
Au1 Au 0.000 0.000 0.000
```


5.
SmHoTeAu: relaxed, PBE-GGA.

Values from the calculation:
- formation energy without anion corrections (eV/atom) = -1.05
- magnetization (μB per cell) = 0.0
- density of states at the Fermi level (states/eV per cell) = 9.8

```
data_SmHoTeAu
_chemical_formula_sum 'Sm3 Ho3 Te3 Au3'
_cell_length_a 4.1897
_cell_length_b 4.1897
_cell_length_c 22.6009
_cell_angle_alpha 90.00
_cell_angle_beta 90.00
_cell_angle_gamma 120.00
_symmetry_space_group_name_H-M 'R 3 m'
_symmetry_Int_Tables_number 160
_symmetry_space_group_name_Hall 'R 3 -2"'
loop_
_atom_site_label
_atom_site_type_symbol
_atom_site_fract_x
_atom_site_fract_y
_atom_site_fract_z
Sm1 Sm 0.0000 0.0000 0.0000
Ho1 Ho 0.0000 0.0000 0.5133
Te1 Te 0.0000 0.0000 0.7588
Au1 Au 0.0000 0.0000 0.2538
```


6.
Ba3Cu2PtO9: relaxed, PBE-GGA.

Values from the calculation:
- formation energy without anion corrections (eV/atom) = -1.34
- magnetization (μB per cell) = 2.5
- density of states at the Fermi level (states/eV per cell) = 9.7

```
data_Ba3Cu2PtO9
_chemical_formula_sum 'Ba3 Cu2 Pt1 O9'
_cell_length_a 5.7357
_cell_length_b 5.7357
_cell_length_c 7.1062
_cell_angle_alpha 90.00
_cell_angle_beta 90.00
_cell_angle_gamma 120.00
_symmetry_space_group_name_H-M 'P -3 m 1'
_symmetry_Int_Tables_number 164
_symmetry_space_group_name_Hall '-P 3 2"'
loop_
_atom_site_label
_atom_site_type_symbol
_atom_site_fract_x
_atom_site_fract_y
_atom_site_fract_z
Ba1 Ba 0.0000 0.0000 0.0000
Ba2 Ba 0.3333 0.6667 0.6707
Cu1 Cu 0.3333 0.6667 0.1462
Pt1 Pt 0.0000 0.0000 0.5000
O1 O 0.0000 0.5000 0.0000
O2 O 0.1643 0.3286 0.3396
```